Record 1
A plane-wave DFT calculation with PBE-GGA was carried out for a relaxed ReSi2Pb crystal.

The structure in extended XYZ format:
```
4
Lattice="-1.4504 -1.9285 -3.5820 -3.0387 -2.9172 -0.9539 -4.7381 3.8253 -1.4245" Properties=species:S:1:pos:R:3 pbc="T T T"
Si -4.8899 -4.3390 -4.5874
Si -4.2128 -1.0169 -2.9286
Re -2.3068 -0.2551 -1.4901
Pb -6.9204 -0.7653 -4.4702
```

Results
Calculated total energy, eV per atom: -6.472
Fermi-level density of states, states/eV per cell: 2.5
Size of the total moment, μB per cell: 0.000
E_form (uncorrected), eV/atom: 0.278



Record 2
A plane-wave DFT calculation with PBE-GGA was carried out for a relaxed Ce8SnOs2 crystal.

The structure in extended XYZ format:
```
11
Lattice="-2.9561 3.6559 2.5279 -3.8308 -4.3974 6.0919 3.1639 -0.9324 7.1541" Properties=species:S:1:pos:R:3 pbc="T T T"
Ce -2.1384 -3.0370 5.9341
Ce -2.4298 2.8486 4.4802
Ce -2.7336 -1.9274 9.4387
Ce -1.1932 -4.5225 11.2937
Ce -2.5114 -0.7135 3.3250
Ce -0.8894 0.2535 6.3352
Ce -4.2755 -0.0280 5.2948
Ce -1.4846 1.3631 9.8398
Sn -1.4780 1.8279 1.2640
Os 0.1636 -1.6804 4.7274
Os -0.8305 -3.6494 8.5185
```

Results
Calculated total energy, eV per atom: -6.898
Fermi-level density of states, states/eV per cell: 29.8
Formation energy from the elements, meV per atom: -177
Size of the total moment, μB per cell: 3.505



Record 3
A plane-wave DFT calculation with PBE-GGA was carried out for a relaxed K2RhSe2O6 crystal.

The structure in extended XYZ format:
```
11
Lattice="-2.0563 -1.6693 -5.4013 2.7175 -3.1674 3.2943 -6.6336 0.2521 2.4476" Properties=species:S:1:pos:R:3 pbc="T T T"
O -3.6233 -2.6360 -1.1559
O -0.6293 -4.2341 -0.2598
O -6.4529 -1.2513 -2.3145
O -2.3491 -1.9486 1.4965
O -5.3431 -0.3505 0.6004
O 0.4804 -3.3333 2.6551
Rh -4.3450 -0.7086 -1.4768
K -4.7598 -2.2216 2.4987
K -1.2126 -2.3630 -2.1581
Se -1.3472 -0.7589 0.7474
Se -4.6253 -3.8257 -0.4068
```

Results
Calculated total energy, eV per atom: -5.152
Fermi-level density of states, states/eV per cell: 0.4
Size of the total moment, μB per cell: 0.999
E_form (uncorrected), eV/atom: -0.946



Record 4
A plane-wave DFT calculation with PBE-GGA was carried out for a relaxed SrDyTlSn crystal.

The structure in extended XYZ format:
```
4
Lattice="5.5439 0.0000 0.0000 2.7720 4.8012 0.0000 2.7720 1.6004 4.5266" Properties=species:S:1:pos:R:3 pbc="T T T"
Dy 0.0000 0.0000 0.0000
Tl 8.3159 4.8012 3.3950
Sr 5.5439 3.2008 2.2633
Sn 2.7720 1.6004 1.1317
```

Results
Calculated total energy, eV per atom: -3.590
Fermi-level density of states, states/eV per cell: 2.3
Formation energy from the elements, meV per atom: -427
Size of the total moment, μB per cell: 0.000



Record 5
A plane-wave DFT calculation with PBE-GGA was carried out for a relaxed SrMgRu2 crystal.

The structure in extended XYZ format:
```
4
Lattice="3.2917 0.0000 0.0000 0.0000 4.9331 0.0000 0.0000 0.0000 4.6526" Properties=species:S:1:pos:R:3 pbc="T T T"
Ru 0.0000 0.0000 0.0000
Ru 1.6459 2.4666 0.0000
Mg 0.0000 2.4666 2.3263
Sr 1.6459 0.0000 2.3263
```

Results
Calculated total energy, eV per atom: -4.782
Fermi-level density of states, states/eV per cell: 5.1
Formation energy from the elements, meV per atom: 675
Size of the total moment, μB per cell: 0.424



Record 6
A plane-wave DFT calculation with PBE-GGA was carried out for a relaxed MgTe2Os crystal.

The structure in extended XYZ format:
```
8
Lattice="-0.1490 -4.5015 -4.7049 4.2147 -3.6540 3.3625 -2.2557 -6.6418 1.9178" Properties=species:S:1:pos:R:3 pbc="T T T"
Os 0.0000 0.0000 0.0000
Os -0.1859 -7.6105 -1.7291
Mg 1.9959 -7.1867 2.3046
Mg 2.0328 -4.0777 -0.6712
Te -0.3126 -7.9135 0.8189
Te -0.1354 -5.0860 -2.2032
Te 2.0568 -4.3514 2.1553
Te 2.0112 -12.2434 0.3799
```

Results
Calculated total energy, eV per atom: -4.547
Fermi-level density of states, states/eV per cell: 4.4
Size of the total moment, μB per cell: 0.000
E_form (uncorrected), eV/atom: 0.230



Record 7
A plane-wave DFT calculation with PBE-GGA was carried out for a relaxed AcSc2SbO8 crystal.

The structure in extended XYZ format:
```
12
Lattice="-4.7896 -0.0274 0.4245 -0.4172 -0.2620 -4.7733 0.0763 -7.2495 0.3913" Properties=species:S:1:pos:R:3 pbc="T T T"
O -1.1884 -5.9295 -3.4418
O -2.0476 -3.7345 -1.4332
O -3.5708 -7.4536 -2.6827
O -1.5597 -0.0853 -1.2748
O -1.2324 -1.7510 -3.6674
O -3.9421 -1.6094 -0.5158
O -3.8980 -5.7878 -0.2902
O -3.0828 -3.8044 -2.5244
Sc -2.5425 -5.9102 -1.8631
Sc -2.5879 -1.6287 -2.0944
Ac 0.0382 -3.6247 0.1956
Sb 0.0000 0.0000 0.0000
```

Results
Calculated total energy, eV per atom: -7.527
Fermi-level density of states, states/eV per cell: 0.0
Size of the total moment, μB per cell: 0.000
E_form (uncorrected), eV/atom: -2.480



Record 8
A plane-wave DFT calculation with PBE-GGA was carried out for a relaxed CaAg2Au crystal.

The structure in extended XYZ format:
```
4
Lattice="9.2910 0.0172 0.0102 8.6850 3.3006 0.0102 8.6850 1.6030 2.8852" Properties=species:S:1:pos:R:3 pbc="T T T"
Ag 13.4844 2.4888 1.4695
Ag 26.5073 4.8924 2.8888
Au 6.6653 1.2302 0.7264
Ca 19.9958 3.6906 2.1792
```

Results
Calculated total energy, eV per atom: -2.665
Fermi-level density of states, states/eV per cell: 1.3
Formation energy from the elements, meV per atom: 81
Size of the total moment, μB per cell: 0.000



Record 9
A plane-wave DFT calculation with PBE-GGA was carried out for a relaxed PrSmGe2Pd5 crystal.

The structure in extended XYZ format:
```
9
Lattice="-1.0294 2.9248 2.9898 -3.9597 0.3100 -1.6666 -2.8668 -6.6981 5.5653" Properties=species:S:1:pos:R:3 pbc="T T T"
Ge -2.8823 0.7115 1.4143
Ge -4.9736 -4.1748 5.4742
Pr -1.4334 -3.3490 2.7826
Pd -3.9279 -1.7317 3.4443
Pd -4.0687 -4.7255 3.2218
Pd -2.7578 -1.6626 0.6769
Pd -2.6035 -3.4181 5.5500
Pd -1.2926 -0.3552 3.0051
Sm 0.0000 0.0000 0.0000
```

Results
Calculated total energy, eV per atom: -5.760
Fermi-level density of states, states/eV per cell: 2.9
Formation energy from the elements, meV per atom: -794
Size of the total moment, μB per cell: 0.000



Record 10
A plane-wave DFT calculation with PBE-GGA was carried out for a relaxed Y3Tm2Tl4 crystal.

The structure in extended XYZ format:
```
18
Lattice="7.1564 0.0000 0.0000 0.0000 9.6515 0.0000 -3.5782 0.0000 7.7249" Properties=species:S:1:pos:R:3 pbc="T T T"
Tl 1.7891 7.2386 7.6204
Tl 0.0000 9.3726 3.0407
Tl -1.7891 7.2386 7.6204
Tl 3.5782 5.1046 3.0407
Tl 3.5782 0.2789 4.6842
Tl 5.3673 2.4129 0.1045
Tl 0.0000 4.5468 4.6842
Tl 1.7891 2.4129 0.1045
Y -1.7891 7.2386 4.4625
Y 1.7891 7.2386 4.4625
Y 3.5782 4.8257 0.0000
Y 0.0000 0.0000 0.0000
Y 1.7891 2.4129 3.2625
Y 5.3673 2.4129 3.2625
Tm 3.5782 4.3230 6.0710
Tm 3.5782 9.1487 1.6540
Tm 0.0000 0.5027 6.0710
Tm 0.0000 5.3284 1.6540
```

Results
Calculated total energy, eV per atom: -4.381
Fermi-level density of states, states/eV per cell: 13.0
Formation energy from the elements, meV per atom: -181
Size of the total moment, μB per cell: 0.000



Record 11
A plane-wave DFT calculation with PBE-GGA was carried out for a relaxed KIn2NiPb crystal.

The structure in extended XYZ format:
```
5
Lattice="-1.9031 -4.0781 2.4264 4.6478 -1.0745 1.8395 -0.9986 3.0152 4.2844" Properties=species:S:1:pos:R:3 pbc="T T T"
Ni 0.0000 0.0000 0.0000
K 0.8730 -1.0687 4.2752
Pb -0.4993 1.5076 2.1422
In -0.9516 -2.0390 1.2132
In 2.3239 -0.5373 0.9197
```

Results
Calculated total energy, eV per atom: -3.233
Fermi-level density of states, states/eV per cell: 3.2
Formation energy from the elements, meV per atom: -21
Size of the total moment, μB per cell: 0.000



Record 12
A plane-wave DFT calculation with PBE-GGA was carried out for a relaxed TbPmMgSb crystal.

The structure in extended XYZ format:
```
4
Lattice="5.3749 0.0000 0.0000 2.6875 4.6548 0.0000 2.6875 1.5516 4.3886" Properties=species:S:1:pos:R:3 pbc="T T T"
Pm 8.0624 4.6548 3.2914
Mg 5.3749 3.1032 2.1943
Sb 0.0000 0.0000 0.0000
Tb 2.6875 1.5516 1.0971
```

Results
Calculated total energy, eV per atom: -4.206
Fermi-level density of states, states/eV per cell: 3.8
Size of the total moment, μB per cell: 0.000
E_form (uncorrected), eV/atom: -0.432



Among the records above, which one has the lowest calculated total energy? AcSc2SbO8